1.
# Tm2ScTlO6

An optimized crystal structure of Tm2ScTlO6 (GGA-PBE, Alexandria).

The structure in POSCAR format:
```
Tm2ScTlO6
1.0
-1.2927 -0.6191 5.4616
-2.2224 -4.8528 1.8427
3.4147 -3.5884 3.3205
Tm Sc Tl O
2 1 1 6
direct
0.5189 0.5189 0.4434 Tm
0.0253 0.0253 0.9240 Tm
0.8110 0.8110 0.5670 Sc
0.3028 0.3028 0.0916 Tl
0.6343 0.2026 0.2566 O
0.2026 0.9065 0.2566 O
0.9065 0.6343 0.2566 O
0.4352 0.7215 0.7398 O
0.7215 0.1034 0.7398 O
0.1034 0.4353 0.7399 O
```

## Properties
space-group type	R3 (146)
total DFT energy (no corrections)	-7.582	eV per atom
formation energy without anion corrections	-2843.4	meV per atom

2.
# TmScTl2O6

An optimized crystal structure of TmScTl2O6 (GGA-PBE, Alexandria).

The structure in POSCAR format:
```
TmScTl2O6
1.0
-0.7281 0.9420 5.5508
2.7025 -3.2311 3.8061
4.5228 2.4286 3.0843
Tm Sc Tl O
1 1 2 6
direct
0.8124 0.8124 0.5628 Tm
0.3144 0.3145 0.0567 Sc
0.5327 0.5326 0.4020 Tl
0.0312 0.0312 0.9063 Tl
0.5943 0.2000 0.2599 O
0.2000 0.9458 0.2599 O
0.9458 0.5943 0.2599 O
0.4306 0.6896 0.7693 O
0.6896 0.1105 0.7692 O
0.1105 0.4307 0.7693 O
```

## Properties
space-group type	R3 (146)
total DFT energy (no corrections)	-6.617	eV per atom
formation energy without anion corrections	-2088.5	meV per atom